No. 1
## KZr3I (GGA-PBE)

Data for a relaxed structure of KZr3I.

Properties
Electronic total energy: -3.6825 eV per atom
ΔE_f (raw): 1.976 eV/atom
V: 136.7 Å³ per cell

The structure in POSCAR format:
```
KZr3I
1.0
5.151 0.000 0.000
0.000 5.151 0.000
0.000 0.000 5.151
Zr K I
3 1 1
direct
0.000 0.000 0.500
0.500 0.000 0.000
0.000 0.500 0.000
0.000 0.000 0.000
0.500 0.500 0.500
```


No. 2
## Pr2OsCl (GGA-PBE)

Data for a relaxed structure of Pr2OsCl.

Properties
Electronic total energy: -5.5994 eV per atom
ΔE_f (raw): 0.059 eV/atom
V: 97.3 Å³ per cell

The structure in POSCAR format:
```
Pr2OsCl
1.0
-0.590 3.030 -1.292
-1.192 0.288 -3.113
-9.969 0.800 2.093
Cl Pr Os
1 2 1
direct
0.500 0.500 0.500
0.088 0.088 0.737
0.912 0.912 0.263
0.000 0.000 0.000
```


No. 3
## Pr4SiPdI2 (GGA-PBE)

Data for a relaxed structure of Pr4SiPdI2.

Properties
Electronic total energy: -4.9693 eV per atom
ΔE_f (raw): -0.865 eV/atom
V: 256.1 Å³ per cell

The structure in POSCAR format:
```
Pr4SiPdI2
1.0
-2.051 -0.893 3.613
-4.363 -5.248 -3.773
6.520 -3.900 2.737
Pr Si I Pd
4 1 2 1
direct
0.000 0.729 0.194
0.500 0.229 0.202
0.500 0.771 0.798
0.000 0.271 0.806
0.000 0.000 0.000
0.500 0.000 0.500
0.000 0.500 0.500
0.500 0.500 0.000
```


No. 4
## LaPmCd (GGA-PBE)

Data for a relaxed structure of LaPmCd.

Properties
Electronic total energy: -3.7171 eV per atom
Formation enthalpy at 0 K: -0.186 eV/atom
V: 379.6 Å³ per cell

The structure in POSCAR format:
```
LaPmCd
1.0
-2.800 -4.512 -1.015
6.498 -2.432 -7.110
3.897 -3.488 4.755
Cd Pm La
4 4 4
direct
0.750 0.602 0.226
0.750 0.898 0.726
0.250 0.398 0.774
0.250 0.102 0.274
0.250 0.427 0.320
0.750 0.927 0.180
0.250 0.073 0.820
0.750 0.573 0.680
0.750 0.201 0.516
0.750 0.299 0.016
0.250 0.799 0.484
0.250 0.701 0.984
```


Number 1: DOS(E_F) 7.302 states/eV per cell. Number 2: DOS(E_F) 2.529 states/eV per cell. Number 3: DOS(E_F) 6.765 states/eV per cell. Number 4: DOS(E_F) 12.065 states/eV per cell.